1.
ZrRe2W | PBE | optimized geometry

a b c (Å): 3.190 4.543 9.225
angles (deg): 90.00 90.00 90.00
Space group Imm2 (No. 44)
Unique sites:
Zr 0.000 0.000 0.000 (multiplicity 2)
Re 0.000 0.000 0.500 (multiplicity 2)
Re 0.000 0.500 0.755 (multiplicity 2)
W 0.000 0.500 0.242 (multiplicity 2)

Results
The calculation puts the size of the total moment at 0.0 μB per formula unit. The uncorrected energy is -11.65 eV/atom. For the density of states at the Fermi level, the calculation gives 4.9 states/eV per cell. The crystal system is orthorhombic.

2.
ZrRe2W | PBE | optimized geometry

a b c (Å): 2.798 4.547 5.313
angles (deg): 90.00 100.47 90.00
Space group Pm (No. 6)
Unique sites:
Zr 0.000 0.000 0.000 (multiplicity 1)
Re 0.494 0.000 0.501 (multiplicity 1)
Re 0.753 0.500 0.246 (multiplicity 1)
W 0.260 0.500 0.734 (multiplicity 1)

Results
The calculation puts the size of the total moment at 0.0 μB per formula unit. The uncorrected energy is -11.58 eV/atom. For the density of states at the Fermi level, the calculation gives 2.6 states/eV per cell. The crystal system is monoclinic.

3.
Zr2ReW | PBE | optimized geometry

a b c (Å): 6.614 6.614 6.614
angles (deg): 90.00 90.00 90.00
Space group F-43m (No. 216)
Unique sites:
Zr 0.000 0.000 0.000 (multiplicity 4)
Zr 0.250 0.250 0.250 (multiplicity 4)
Re 0.000 0.000 0.500 (multiplicity 4)
W 0.250 0.250 0.750 (multiplicity 4)

Results
The calculation puts the size of the total moment at 0.0 μB per formula unit. The uncorrected energy is -10.62 eV/atom. For the density of states at the Fermi level, the calculation gives 14.3 states/eV per cell. The crystal system is cubic.

4.
ZrRe2W | PBE | optimized geometry

a b c (Å): 3.182 4.591 9.148
angles (deg): 90.00 90.00 90.00
Space group Cmm2 (No. 35)
Unique sites:
Zr 0.000 0.000 0.000 (multiplicity 2)
Re 0.000 0.000 0.494 (multiplicity 2)
Re 0.000 0.500 0.260 (multiplicity 2)
W 0.000 0.500 0.730 (multiplicity 2)

Results
The calculation puts the size of the total moment at 0.0 μB per formula unit. The uncorrected energy is -11.46 eV/atom. For the density of states at the Fermi level, the calculation gives 6.5 states/eV per cell. The crystal system is orthorhombic.

5.
ZrRe2W | PBE | optimized geometry

a b c (Å): 2.8357 2.8357 29.2778
angles (deg): 90.00 90.00 120.00
Space group R3m (No. 160, hexagonal axes)
Unique sites:
Zr 0.0000 0.0000 0.0000 (multiplicity 3)
Re 0.0000 0.0000 0.2438 (multiplicity 3)
Re 0.0000 0.0000 0.5042 (multiplicity 3)
W 0.0000 0.0000 0.7582 (multiplicity 3)

Results
The calculation puts the size of the total moment at 0.0 μB per formula unit. The uncorrected energy is -11.36 eV/atom. For the density of states at the Fermi level, the calculation gives 8.5 states/eV per cell. The crystal system is trigonal.

6.
Zr2ReW | PBE | optimized geometry

a b c (Å): 3.0329 3.0329 28.6239
angles (deg): 90.00 90.00 120.00
Space group R3m (No. 160, hexagonal axes)
Unique sites:
Zr 0.0000 0.0000 0.0000 (multiplicity 3)
Zr 0.0000 0.0000 0.2381 (multiplicity 3)
Re 0.0000 0.0000 0.4879 (multiplicity 3)
W 0.0000 0.0000 0.7519 (multiplicity 3)

Results
The calculation puts the size of the total moment at 0.0 μB per formula unit. The uncorrected energy is -10.37 eV/atom. For the density of states at the Fermi level, the calculation gives 13.9 states/eV per cell. The crystal system is trigonal.

7.
ZrReW3 | PBE | optimized geometry

a b c (Å): 4.684 4.684 4.684
angles (deg): 90.00 90.00 90.00
Space group Pm-3m (No. 221)
Unique sites:
Zr 0.000 0.000 0.000 (multiplicity 1)
Re 0.500 0.500 0.500 (multiplicity 1)
W 0.000 0.000 0.500 (multiplicity 3)

Results
The calculation puts the size of the total moment at 0.0 μB per formula unit. The value obtained for the energy above the most stable polymorph in this dataset is 1352 meV/atom. The uncorrected energy is -9.03 eV/atom. For the density of states at the Fermi level, the calculation gives 9.2 states/eV per cell. The crystal system is cubic.

8.
Zr2ReW | PBE | optimized geometry

a b c (Å): 3.282 4.703 9.638
angles (deg): 90.00 90.00 90.00
Space group Imm2 (No. 44)
Unique sites:
Zr 0.000 0.000 0.000 (multiplicity 2)
Zr 0.000 0.500 0.231 (multiplicity 2)
Re 0.000 0.500 0.751 (multiplicity 2)
W 0.000 0.000 0.471 (multiplicity 2)

Results
The calculation puts the size of the total moment at 0.0 μB per formula unit. The uncorrected energy is -10.70 eV/atom. For the density of states at the Fermi level, the calculation gives 6.9 states/eV per cell. The crystal system is orthorhombic.

9.
Zr2ReW | PBE | optimized geometry

a b c (Å): 10.510 3.264 4.759
angles (deg): 90.00 116.83 90.00
Space group C2/m (No. 12)
Unique sites:
Zr 0.243 0.000 0.243 (multiplicity 4)
Re 0.000 0.500 0.000 (multiplicity 2)
W 0.000 0.000 0.500 (multiplicity 2)

Results
The calculation puts the size of the total moment at 0.0 μB per formula unit. The uncorrected energy is -10.57 eV/atom. For the density of states at the Fermi level, the calculation gives 8.0 states/eV per cell. The crystal system is monoclinic.

10.
Zr2ReW | PBE | optimized geometry

a b c (Å): 2.985 4.558 5.524
angles (deg): 90.00 101.82 90.00
Space group Pm (No. 6)
Unique sites:
Zr 0.000 0.000 0.000 (multiplicity 1)
Zr 0.278 0.500 0.737 (multiplicity 1)
Re 0.762 0.500 0.256 (multiplicity 1)
W 0.536 0.000 0.474 (multiplicity 1)

Results
The calculation puts the size of the total moment at 0.0 μB per formula unit. The uncorrected energy is -10.59 eV/atom. For the density of states at the Fermi level, the calculation gives 3.9 states/eV per cell. The crystal system is monoclinic.

11.
Zr2ReW | PBE | optimized geometry

a b c (Å): 3.1239 3.1239 26.7016
angles (deg): 90.00 90.00 120.00
Space group R-3m (No. 166, hexagonal axes)
Unique sites:
Zr 0.0000 0.0000 0.2468 (multiplicity 6)
Re 0.0000 0.0000 0.5000 (multiplicity 3)
W 0.0000 0.0000 0.0000 (multiplicity 3)

Results
The calculation puts the size of the total moment at 0.0 μB per formula unit. The uncorrected energy is -10.32 eV/atom. For the density of states at the Fermi level, the calculation gives 7.5 states/eV per cell. The crystal system is trigonal.

12.
ZrRe2W | PBE | optimized geometry

a b c (Å): 3.200 4.513 4.600
angles (deg): 90.00 90.00 90.00
Space group Pmmm (No. 47)
Unique sites:
Zr 0.000 0.000 0.000 (multiplicity 1)
Re 0.000 0.500 0.500 (multiplicity 1)
Re 0.500 0.500 0.000 (multiplicity 1)
W 0.500 0.000 0.500 (multiplicity 1)

Results
The calculation puts the size of the total moment at 0.0 μB per formula unit. The uncorrected energy is -11.59 eV/atom. For the density of states at the Fermi level, the calculation gives 2.3 states/eV per cell. The crystal system is orthorhombic.

Listing energy of formation from the pure elements for the structures above in their given order: -0.0461 0.0157 0.0038 0.1430 0.2400 0.2549 2.9388 -0.0755 0.0578 0.0391 0.3047 0.0110 eV/atom.